Record 1
## DyAlH (PBE-GGA)

Data for an optimized crystal structure of DyAlH.

Results
Excess energy over the best structure of this formula in the dataset: 0.340 eV/atom
Uncorrected energy: -11.86 eV for the cell shown
Space group: No. 107

```
DyAlH
1.0
-1.361 -1.857 2.076
1.020 -2.482 -1.551
4.799 2.173 2.776
H Al Dy
1 1 1
Direct
0.267 0.267 0.534
0.009 0.009 0.017
0.724 0.724 0.448
```

***

Record 2
## Dy2AlH2 (PBE-GGA)

Data for an optimized crystal structure of Dy2AlH2.

Results
Uncorrected energy: -22.56 eV for the cell shown
Space group: No. 139

```
Dy2AlH2
1.0
-2.778 -1.395 -1.833
1.084 1.743 -2.969
4.412 -5.146 0.783
Dy Al H
2 1 2
Direct
0.647 0.647 0.294
0.353 0.353 0.706
0.000 0.000 0.000
0.750 0.250 0.500
0.250 0.750 0.500
```